{
  "formula": "CeBeRuC",
  "functional": "GGA-PBE",
  "state": "relaxed",
  "cell": [[-0.118, -3.011, 2.110], [2.128, 1.665, 2.495], [-7.004, 3.039, 3.947]],
  "species": ["Be", "Be", "Ru", "Ru", "Ce", "Ce", "C", "C"],
  "frac_coords": [[0.000, 0.500, 0.323], [0.500, 0.000, 0.677], [0.000, 0.000, 0.500], [0.500, 0.500, 0.500], [0.000, 0.500, 0.843], [0.500, 0.000, 0.157], [0.500, 0.000, 0.876], [0.000, 0.500, 0.124]],
  "m_tot_mub_per_fu": 0.000,
  "formation_energy_ev_per_atom": -0.143
}

---

{
  "formula": "Ce2BeSiC",
  "functional": "GGA-PBE",
  "state": "relaxed",
  "cell": [[3.808, 0.000, 0.000], [0.000, 6.351, 0.097], [0.000, -2.610, 7.669]],
  "species": ["C", "C", "Ce", "Ce", "Ce", "Ce", "Be", "Be", "Si", "Si"],
  "frac_coords": [[0.750, 0.168, 0.172], [0.250, 0.832, 0.828], [0.750, 0.775, 0.035], [0.250, 0.200, 0.390], [0.250, 0.225, 0.965], [0.750, 0.800, 0.610], [0.750, 0.452, 0.251], [0.250, 0.548, 0.749], [0.250, 0.657, 0.299], [0.750, 0.343, 0.701]],
  "m_tot_mub_per_fu": 0.774,
  "e_form_raw_ev_per_atom": -0.41
}

---

{
  "formula": "CeBe2SiC",
  "functional": "GGA-PBE",
  "state": "relaxed",
  "cell": [[-3.045, 1.107, -1.858], [-1.355, -4.479, 3.306], [-1.512, 4.083, 4.913]],
  "species": ["Si", "Si", "Be", "Be", "Be", "Be", "Ce", "Ce", "C", "C"],
  "frac_coords": [[0.724, 0.448, 0.750], [0.276, 0.552, 0.250], [0.848, 0.697, 0.427], [0.848, 0.697, 0.073], [0.152, 0.303, 0.927], [0.152, 0.303, 0.573], [0.442, 0.884, 0.750], [0.558, 0.116, 0.250], [0.000, 0.000, 0.000], [0.000, 0.000, 0.500]],
  "m_tot_mub_per_fu": 0.000,
  "e_form_raw_ev_per_atom": -0.27
}

---

{
  "formula": "CeTa2BeC4",
  "functional": "GGA-PBE",
  "state": "relaxed",
  "cell": [[3.221, 0.000, 0.000], [-1.611, 5.335, 0.000], [0.000, 0.000, 10.779]],
  "species": ["C", "C", "C", "C", "C", "C", "C", "C", "Ta", "Ta", "Ta", "Ta", "Be", "Be", "Ce", "Ce"],
  "frac_coords": [[0.266, 0.532, 0.118], [0.572, 0.144, 0.250], [0.000, 0.000, 0.500], [0.428, 0.856, 0.750], [0.734, 0.468, 0.618], [0.000, 0.000, 0.000], [0.266, 0.532, 0.382], [0.734, 0.468, 0.882], [0.367, 0.734, 0.947], [0.633, 0.266, 0.053], [0.633, 0.266, 0.447], [0.367, 0.734, 0.553], [0.838, 0.675, 0.750], [0.162, 0.325, 0.250], [0.896, 0.791, 0.250], [0.104, 0.209, 0.750]],
  "m_tot_mub_per_fu": 0.000,
  "formation_energy_ev_per_atom": -0.381
}

---

{
  "formula": "Tb2CeBeC2",
  "functional": "GGA-PBE",
  "state": "relaxed",
  "cell": [[3.632, 0.000, 0.000], [0.000, 5.452, 0.000], [0.000, 0.000, 11.082]],
  "species": ["C", "C", "C", "C", "Tb", "Tb", "Tb", "Tb", "Ce", "Ce", "Be", "Be"],
  "frac_coords": [[0.500, 0.733, 0.393], [0.000, 0.233, 0.107], [0.000, 0.767, 0.893], [0.500, 0.267, 0.607], [0.500, 0.012, 0.796], [0.500, 0.988, 0.204], [0.000, 0.488, 0.296], [0.000, 0.512, 0.704], [0.500, 0.500, 0.000], [0.000, 0.000, 0.500], [0.500, 0.500, 0.500], [0.000, 0.000, 0.000]],
  "m_tot_mub_per_fu": 0.000,
  "formation_energy_ev_per_atom": -0.122
}

---

{
  "formula": "CeTh2BeC2",
  "functional": "GGA-PBE",
  "state": "relaxed",
  "cell": [[-0.026, 0.894, -3.567], [-5.481, 0.824, 0.246], [1.767, 10.940, 2.731]],
  "species": ["Ce", "Ce", "Be", "Be", "C", "C", "C", "C", "Th", "Th", "Th", "Th"],
  "frac_coords": [[0.500, 0.500, 0.000], [0.000, 0.000, 0.500], [0.500, 0.500, 0.500], [0.000, 0.000, 0.000], [0.000, 0.773, 0.896], [0.500, 0.727, 0.396], [0.500, 0.273, 0.604], [0.000, 0.227, 0.104], [0.000, 0.484, 0.290], [0.500, 0.984, 0.210], [0.500, 0.016, 0.790], [0.000, 0.516, 0.710]],
  "m_tot_mub_per_fu": 0.149,
  "formation_energy_ev_per_atom": -0.111
}

---

{
  "formula": "Ce2TmBeC2",
  "functional": "GGA-PBE",
  "state": "relaxed",
  "cell": [[3.531, 0.000, 0.000], [0.000, 5.355, 0.000], [0.000, 0.000, 11.239]],
  "species": ["C", "C", "C", "C", "Ce", "Ce", "Ce", "Ce", "Tm", "Tm", "Be", "Be"],
  "frac_coords": [[0.000, 0.762, 0.898], [0.500, 0.262, 0.602], [0.000, 0.238, 0.102], [0.500, 0.738, 0.398], [0.000, 0.489, 0.714], [0.500, 0.011, 0.214], [0.000, 0.511, 0.286], [0.500, 0.989, 0.786], [0.500, 0.500, 0.000], [0.000, 0.000, 0.500], [0.500, 0.500, 0.500], [0.000, 0.000, 0.000]],
  "m_tot_mub_per_fu": 0.442,
  "formation_energy_ev_per_atom": -0.127
}

---

{
  "formula": "CeY2BeC2",
  "functional": "GGA-PBE",
  "state": "relaxed",
  "cell": [[-1.927, 2.810, -1.260], [-2.952, 0.034, 4.591], [7.197, 6.987, 4.574]],
  "species": ["C", "C", "C", "C", "Ce", "Ce", "Y", "Y", "Y", "Y", "Be", "Be"],
  "frac_coords": [[0.000, 0.767, 0.891], [0.500, 0.267, 0.609], [0.000, 0.233, 0.109], [0.500, 0.733, 0.391], [0.500, 0.500, 0.000], [0.000, 0.000, 0.500], [0.000, 0.511, 0.704], [0.000, 0.489, 0.296], [0.500, 0.011, 0.796], [0.500, 0.989, 0.204], [0.500, 0.500, 0.500], [0.000, 0.000, 0.000]],
  "m_tot_mub_per_fu": 0.005,
  "formation_energy_ev_per_atom": -0.135
}